Material: Tm8ZrSc5
Method: DFT, GGA-PBE
State: optimized geometry

Unit cell a=9.1187 b=9.1187 c=9.6301 alpha=90.00 beta=90.00 gamma=90.00
Space group I-4 (No. 82)
Asymmetric unit:
Tm: 0.0700 0.3218 0.0921 [8 per cell]
Tm: 0.0861 0.1757 0.7548 [8 per cell]
Zr: 0.0000 0.0000 0.0000 [2 per cell]
Sc: 0.0000 0.5000 0.7500 [2 per cell]
Sc: 0.1071 0.2072 0.4292 [8 per cell]

Summary:
The density of states at the Fermi level is 44.390 states/eV per cell. The value obtained for the formation energy is 6.0 kcal/mol of atoms. For the electronic total energy, the calculation gives -144.66 eV for the cell shown.

Material: TmZr4Sc4
Method: DFT, GGA-PBE
State: optimized geometry

Unit cell a=4.8013 b=9.9540 c=10.2712 alpha=67.99 beta=76.52 gamma=89.98
Space group P-1 (No. 2)
Asymmetric unit:
Tm: 0.2502 0.2499 0.0001 [2 per cell]
Zr: 0.0372 0.3207 0.4248 [2 per cell]
Zr: 0.1981 0.5073 0.1036 [2 per cell]
Zr: 0.3018 0.9929 0.8958 [2 per cell]
Zr: 0.4620 0.1798 0.5751 [2 per cell]
Sc: 0.0816 0.0300 0.3379 [2 per cell]
Sc: 0.1335 0.7711 0.2325 [2 per cell]
Sc: 0.3663 0.7293 0.7671 [2 per cell]
Sc: 0.4191 0.4697 0.6627 [2 per cell]

Summary:
The density of states at the Fermi level is 24.715 states/eV per cell. The value obtained for the formation energy is 1.7 kcal/mol of atoms. For the electronic total energy, the calculation gives -126.69 eV for the cell shown.

Material: Tm2Zr4Sc5
Method: DFT, GGA-PBE
State: optimized geometry

Unit cell a=11.6182 b=6.0927 c=9.5014 alpha=90.00 beta=125.47 gamma=90.00
Space group C2/m (No. 12)
Asymmetric unit:
Tm: 0.1763 0.0000 0.2394 [4 per cell]
Zr: 0.2336 0.0000 0.9639 [4 per cell]
Zr: 0.2373 0.0000 0.6257 [4 per cell]
Sc: 0.0000 0.5000 0.0000 [2 per cell]
Sc: 0.0107 0.2596 0.6714 [8 per cell]

Summary:
Its relative energy among the computed polymorphs is 0.0 meV/atom. The density of states at the Fermi level is 28.582 states/eV per cell. The value obtained for the formation energy is 4.2 kcal/mol of atoms. For the electronic total energy, the calculation gives -145.59 eV for the cell shown.

Material: TmZr4Sc2
Method: DFT, GGA-PBE
State: optimized geometry

Unit cell a=5.3337 b=3.1801 c=10.6607 alpha=90.00 beta=100.00 gamma=90.00
Space group P2/m (No. 10)
Asymmetric unit:
Tm: 0.0000 0.0000 0.0000 [1 per cell]
Zr: 0.0873 0.5000 0.2631 [2 per cell]
Zr: 0.4331 0.0000 0.7852 [2 per cell]
Sc: 0.0000 0.0000 0.5000 [1 per cell]
Sc: 0.5000 0.5000 0.5000 [1 per cell]

Summary:
The density of states at the Fermi level is 9.960 states/eV per cell. The value obtained for the formation energy is 5.2 kcal/mol of atoms. For the electronic total energy, the calculation gives -49.76 eV for the cell shown.

Material: Tm2Zr4Sc5
Method: DFT, GGA-PBE
State: optimized geometry

Unit cell a=6.1367 b=9.5531 c=20.2904 alpha=90.00 beta=90.00 gamma=90.00
Space group Fmmm (No. 69)
Asymmetric unit:
Tm: 0.0000 0.0000 0.1290 [8 per cell]
Zr: 0.0000 0.1596 0.3715 [16 per cell]
Sc: 0.0000 0.0000 0.5000 [4 per cell]
Sc: 0.2500 0.2500 0.0000 [8 per cell]
Sc: 0.2500 0.2500 0.2500 [8 per cell]

Summary:
Its relative energy among the computed polymorphs is 208.3 meV/atom. The density of states at the Fermi level is 59.734 states/eV per cell. The value obtained for the formation energy is 9.0 kcal/mol of atoms. For the electronic total energy, the calculation gives -282.01 eV for the cell shown.

Material: Tm3ZrSc
Method: DFT, GGA-PBE
State: optimized geometry

Unit cell a=16.6364 b=3.3959 c=10.0637 alpha=90.00 beta=93.76 gamma=90.00
Space group C2/m (No. 12)
Asymmetric unit:
Tm: 0.0546 0.0000 0.2243 [4 per cell]
Tm: 0.0985 0.5000 0.6038 [4 per cell]
Tm: 0.2419 0.0000 0.8471 [4 per cell]
Zr: 0.2072 0.0000 0.4027 [4 per cell]
Sc: 0.0843 0.5000 0.9454 [4 per cell]

Summary:
Its relative energy among the computed polymorphs is 0.0 meV/atom. The density of states at the Fermi level is 30.111 states/eV per cell. The value obtained for the formation energy is 3.1 kcal/mol of atoms. For the electronic total energy, the calculation gives -110.52 eV for the cell shown.

Material: Tm2Zr3Sc4
Method: DFT, GGA-PBE
State: optimized geometry

Unit cell a=3.3203 b=3.3203 c=23.9993 alpha=90.00 beta=90.00 gamma=120.00
Space group P-6m2 (No. 187)
Asymmetric unit:
Tm: 0.0000 0.0000 0.1107 [2 per cell]
Zr: 0.0000 0.0000 0.3329 [2 per cell]
Zr: 0.6667 0.3333 0.0000 [1 per cell]
Sc: 0.6667 0.3333 0.2277 [2 per cell]
Sc: 0.6667 0.3333 0.4366 [2 per cell]

Summary:
Its relative energy among the computed polymorphs is 5.8 meV/atom. The density of states at the Fermi level is 17.451 states/eV per cell. The value obtained for the formation energy is 1.4 kcal/mol of atoms. For the electronic total energy, the calculation gives -59.38 eV for the cell shown.

Material: Tm3ZrSc
Method: DFT, GGA-PBE
State: optimized geometry

Unit cell a=3.4223 b=16.6634 c=9.9429 alpha=90.00 beta=90.00 gamma=90.00
Space group Pbcm (No. 57)
Asymmetric unit:
Tm: 0.2493 0.0776 0.0574 [8 per cell]
Tm: 0.2512 0.7500 0.0000 [4 per cell]
Zr: 0.2515 0.6010 0.7500 [4 per cell]
Sc: 0.2485 0.2399 0.2500 [4 per cell]

Summary:
Its relative energy among the computed polymorphs is 105.3 meV/atom. The density of states at the Fermi level is 28.442 states/eV per cell. The value obtained for the formation energy is 5.5 kcal/mol of atoms. For the electronic total energy, the calculation gives -108.41 eV for the cell shown.

Material: Tm5ZrSc4
Method: DFT, GGA-PBE
State: optimized geometry

Unit cell a=9.6287 b=9.6287 c=5.9825 alpha=90.00 beta=90.00 gamma=90.00
Space group I4 (No. 79)
Asymmetric unit:
Tm: 0.0000 0.0000 0.0000 [2 per cell]
Tm: 0.1433 0.2346 0.7050 [8 per cell]
Zr: 0.0000 0.0000 0.4505 [2 per cell]
Sc: 0.0479 0.3490 0.2157 [8 per cell]

Summary:
The density of states at the Fermi level is 29.027 states/eV per cell. The value obtained for the formation energy is 7.9 kcal/mol of atoms. For the electronic total energy, the calculation gives -105.58 eV for the cell shown.

Material: TmZr6Sc
Method: DFT, GGA-PBE
State: optimized geometry

Unit cell a=6.5508 b=6.5508 c=5.1764 alpha=90.00 beta=90.00 gamma=120.00
Space group P-6m2 (No. 187)
Asymmetric unit:
Tm: 0.0000 0.0000 0.0000 [1 per cell]
Zr: 0.1702 0.3404 0.5000 [3 per cell]
Zr: 0.5003 0.0007 0.0000 [3 per cell]
Sc: 0.6667 0.3333 0.5000 [1 per cell]

Summary:
The density of states at the Fermi level is 7.368 states/eV per cell. The value obtained for the formation energy is -0.1 kcal/mol of atoms. For the electronic total energy, the calculation gives -62.11 eV for the cell shown.

Material: Tm12Zr2Sc5
Method: DFT, GGA-PBE
State: optimized geometry

Unit cell a=14.8345 b=8.9296 c=8.1694 alpha=90.00 beta=90.94 gamma=90.00
Space group C2/m (No. 12)
Asymmetric unit:
Tm: 0.0586 0.0000 0.3261 [4 per cell]
Tm: 0.0876 0.5000 0.8821 [4 per cell]
Tm: 0.1272 0.1966 0.6643 [8 per cell]
Tm: 0.1525 0.3164 0.2333 [8 per cell]
Zr: 0.0000 0.1678 0.0000 [4 per cell]
Sc: 0.0000 0.5000 0.5000 [2 per cell]
Sc: 0.1919 0.0000 0.0140 [4 per cell]
Sc: 0.2309 0.5000 0.5696 [4 per cell]

Summary:
The density of states at the Fermi level is 61.932 states/eV per cell. The value obtained for the formation energy is 3.5 kcal/mol of atoms. For the electronic total energy, the calculation gives -199.10 eV for the cell shown.

Material: Tm2ZrSc6
Method: DFT, GGA-PBE
State: optimized geometry

Unit cell a=11.8229 b=12.9987 c=6.0932 alpha=90.00 beta=101.78 gamma=90.00
Space group C2/c (No. 15)
Asymmetric unit:
Tm: 0.1448 0.0266 0.3756 [8 per cell]
Zr: 0.0000 0.3840 0.2500 [4 per cell]
Sc: 0.0288 0.1926 0.9978 [8 per cell]
Sc: 0.1275 0.4122 0.8172 [8 per cell]
Sc: 0.2482 0.2050 0.7388 [8 per cell]

Summary:
Its relative energy among the computed polymorphs is 51.2 meV/atom. The density of states at the Fermi level is 44.524 states/eV per cell. The value obtained for the formation energy is 2.6 kcal/mol of atoms. For the electronic total energy, the calculation gives -217.88 eV for the cell shown.

What are the density values for these records? In order: 6.9 5.4 5.6 5.8 5.2 7.5 5.7 7.5 6.7 6.6 7.5 5.1 g/cm3.